[1]
This record from the Alexandria database describes a relaxed LiLa2Sn3 crystal. The functional is PBE.

Results
Crystal system: orthorhombic
Volume, Å³/atom: 28.31
Symmetry: Pmm2
E, eV per cell: -27.5
Density, g/cm3: 6.3
E_form, meV/atom: -622.1

The structure in extended XYZ format:
```
6
Lattice="4.400 0.000 0.000 0.000 4.778 0.000 0.000 0.000 8.080" Properties=species:S:1:pos:R:3 pbc="T T T"
Li 0.000 0.000 0.000
La 2.200 0.000 5.403
La 2.200 2.389 1.524
Sn 0.000 0.000 2.613
Sn 0.000 2.389 4.208
Sn 0.000 2.389 7.027
```

***

[2]
This record from the Alexandria database describes a relaxed LiLa2Sn8 crystal. The functional is PBE.

Results
Crystal system: tetragonal
Volume, Å³/atom: 26.86
Symmetry: P4/mmm
E, eV per cell: -48.7
Density, g/cm3: 6.9
E_form, meV/atom: -445.6

The structure in extended XYZ format:
```
11
Lattice="4.789 0.000 0.000 0.000 4.789 0.000 0.000 0.000 12.882" Properties=species:S:1:pos:R:3 pbc="T T T"
Li 0.000 0.000 0.000
La 0.000 0.000 4.006
La 0.000 0.000 8.875
Sn 0.000 2.394 1.582
Sn 0.000 2.394 6.441
Sn 0.000 2.394 11.300
Sn 2.394 0.000 1.582
Sn 2.394 0.000 6.441
Sn 2.394 0.000 11.300
Sn 2.394 2.394 4.015
Sn 2.394 2.394 8.867
```

***

[3]
This record from the Alexandria database describes a relaxed Li2La2Sn5 crystal. The functional is PBE.

Results
Crystal system: tetragonal
Volume, Å³/atom: 25.50
Symmetry: P4/mmm
E, eV per cell: -38.1
Density, g/cm3: 6.4
E_form, meV/atom: -489.2

The structure in extended XYZ format:
```
9
Lattice="4.770 0.000 0.000 0.000 4.770 0.000 0.000 0.000 10.087" Properties=species:S:1:pos:R:3 pbc="T T T"
Li 0.000 0.000 1.221
Li 0.000 0.000 8.865
La 2.385 2.385 0.000
La 2.385 2.385 5.043
Sn 0.000 0.000 5.043
Sn 0.000 2.385 2.553
Sn 0.000 2.385 7.534
Sn 2.385 0.000 2.553
Sn 2.385 0.000 7.534
```

***

[4]
This record from the Alexandria database describes a relaxed Li3La2Sn4 crystal. The functional is PBE.

Results
Crystal system: orthorhombic
Volume, Å³/atom: 24.39
Symmetry: Cmce
E, eV per cell: -73.3
Density, g/cm3: 5.9
E_form, meV/atom: -559.8

The structure in extended XYZ format:
```
18
Lattice="3.222 -8.231 0.000 3.222 8.231 0.000 0.000 0.000 8.276" Properties=species:S:1:pos:R:3 pbc="T T T"
Li 0.000 0.000 0.000
Li 1.611 3.751 2.069
Li 1.611 -3.751 6.207
Li 3.222 0.000 4.138
Li 4.833 3.751 2.069
Li 4.833 -3.751 6.207
La 3.222 6.439 3.353
La 3.222 1.792 7.491
La 3.222 -1.792 0.785
La 3.222 -6.439 4.923
Sn 3.222 5.326 0.101
Sn 1.611 0.921 2.069
Sn 1.611 -0.921 6.207
Sn 3.222 2.905 4.239
Sn 3.222 -2.905 4.038
Sn 4.833 0.921 2.069
Sn 4.833 -0.921 6.207
Sn 3.222 -5.326 8.176
```

***

[5]
This record from the Alexandria database describes a relaxed Li4LaSn2 crystal. The functional is PBE.

Results
Crystal system: tetragonal
Volume, Å³/atom: 22.61
Symmetry: P4_2/mnm
E, eV per cell: -48.0
Density, g/cm3: 4.2
E_form, meV/atom: -485.3

The structure in extended XYZ format:
```
14
Lattice="8.189 0.000 0.000 0.000 8.189 0.000 0.000 0.000 4.720" Properties=species:S:1:pos:R:3 pbc="T T T"
Li 0.847 2.872 0.000
Li 1.223 4.942 2.360
Li 2.872 0.847 0.000
Li 3.247 6.966 2.360
Li 4.942 1.223 2.360
Li 5.317 7.342 0.000
Li 6.966 3.247 2.360
Li 7.342 5.317 0.000
La 0.000 0.000 2.360
La 4.094 4.094 0.000
Sn 1.732 6.457 0.000
Sn 2.362 2.362 2.360
Sn 5.827 5.827 2.360
Sn 6.457 1.732 0.000
```

***

[6]
This record from the Alexandria database describes a relaxed LiLa3Sn2 crystal. The functional is PBE.

Results
Crystal system: orthorhombic
Volume, Å³/atom: 31.60
Symmetry: Ibam
E, eV per cell: -56.0
Density, g/cm3: 5.8
E_form, meV/atom: -553.6

The structure in extended XYZ format:
```
12
Lattice="-3.340 8.615 3.294 3.340 -8.615 3.294 3.340 8.615 -3.294" Properties=species:S:1:pos:R:3 pbc="T T T"
Li 0.000 0.000 1.647
Li 0.000 0.000 4.942
La 1.649 3.084 0.000
La 3.340 0.000 1.647
La 1.649 -3.084 3.294
La 1.691 11.699 0.000
La 0.000 8.615 1.647
La 1.691 5.530 3.294
Sn 5.101 2.216 0.000
Sn 1.761 6.399 0.000
Sn 1.579 2.216 3.294
Sn -1.761 6.399 3.294
```

***

[7]
This record from the Alexandria database describes a relaxed LiLaSn crystal. The functional is PBE.

Results
Crystal system: cubic
Volume, Å³/atom: 26.89
Symmetry: F-43m
E, eV per cell: -12.4
Density, g/cm3: 5.4
E_form, meV/atom: -533.9

The structure in extended XYZ format:
```
3
Lattice="0.000 3.430 3.430 3.430 0.000 3.430 3.430 3.430 0.000" Properties=species:S:1:pos:R:3 pbc="T T T"
Li 0.000 0.000 0.000
La 1.715 1.715 1.715
Sn 5.144 5.144 5.144
```

***

[8]
This record from the Alexandria database describes a relaxed LiLa3Sn crystal. The functional is PBE.

Results
Crystal system: cubic
Volume, Å³/atom: 30.46
Symmetry: Pm-3m
E, eV per cell: -20.5
Density, g/cm3: 5.9
E_form, meV/atom: 40.0

The structure in extended XYZ format:
```
5
Lattice="5.340 0.000 0.000 0.000 5.340 0.000 0.000 0.000 5.340" Properties=species:S:1:pos:R:3 pbc="T T T"
Li 0.000 0.000 0.000
La 0.000 0.000 2.670
La 0.000 2.670 0.000
La 2.670 0.000 0.000
Sn 2.670 2.670 2.670
```

***

[9]
This record from the Alexandria database describes a relaxed LiLaSn4 crystal. The functional is PBE.

Results
Crystal system: cubic
Volume, Å³/atom: 28.29
Symmetry: F-43m
E, eV per cell: -24.8
Density, g/cm3: 6.1
E_form, meV/atom: -323.7

The structure in extended XYZ format:
```
6
Lattice="0.000 4.394 4.394 4.394 0.000 4.394 4.394 4.394 0.000" Properties=species:S:1:pos:R:3 pbc="T T T"
Li 0.000 0.000 0.000
La 6.592 6.592 6.592
Sn 3.294 3.294 3.294
Sn 5.495 5.495 3.294
Sn 5.495 3.294 5.495
Sn 3.294 5.495 5.495
```

***

[10]
This record from the Alexandria database describes a relaxed Li3LaSn3 crystal. The functional is PBE.

Results
Crystal system: cubic
Volume, Å³/atom: 26.17
Symmetry: Pm-3n
E, eV per cell: -44.9
Density, g/cm3: 4.7
E_form, meV/atom: 34.2

The structure in extended XYZ format:
```
14
Lattice="7.155 0.000 0.000 0.000 7.155 0.000 0.000 0.000 7.155" Properties=species:S:1:pos:R:3 pbc="T T T"
Li 0.000 1.789 3.578
Li 0.000 5.366 3.578
Li 1.789 3.578 0.000
Li 3.578 0.000 1.789
Li 3.578 0.000 5.366
Li 5.366 3.578 0.000
La 0.000 0.000 0.000
La 3.578 3.578 3.578
Sn 0.000 3.578 1.789
Sn 0.000 3.578 5.366
Sn 1.789 0.000 3.578
Sn 3.578 1.789 0.000
Sn 3.578 5.366 0.000
Sn 5.366 0.000 3.578
```

***

[11]
This record from the Alexandria database describes a relaxed Li2LaSn crystal. The functional is PBE.

Results
Crystal system: tetragonal
Volume, Å³/atom: 27.68
Symmetry: I-42d
E, eV per cell: -27.3
Density, g/cm3: 4.1
E_form, meV/atom: -221.3

The structure in extended XYZ format:
```
8
Lattice="-2.335 2.335 10.157 2.335 -2.335 10.157 2.335 2.335 -10.157" Properties=species:S:1:pos:R:3 pbc="T T T"
Li 3.502 0.601 -2.539
Li 0.601 1.167 2.539
Li -1.167 1.733 7.617
Li 1.733 1.167 12.696
La 2.335 0.000 5.078
La 0.000 0.000 10.157
Sn 0.000 0.000 0.000
Sn 0.000 2.335 5.078
```

***

[12]
This record from the Alexandria database describes a relaxed LiLaSn crystal. The functional is PBE.

Results
Crystal system: monoclinic
Volume, Å³/atom: 25.01
Symmetry: P2_1/m
E, eV per cell: -25.2
Density, g/cm3: 5.9
E_form, meV/atom: -590.8

The structure in extended XYZ format:
```
6
Lattice="4.522 0.000 0.000 0.000 4.941 0.000 -2.254 0.000 6.716" Properties=species:S:1:pos:R:3 pbc="T T T"
Li 0.003 1.235 3.318
Li 2.265 3.705 3.398
La 0.004 3.705 1.221
La 2.263 1.235 5.496
Sn 0.003 3.705 5.050
Sn 2.264 1.235 1.666
```